Version w
Compound: Ta2Si2Sb
Source: Alexandria via LeMat-Bulk
Functional: GGA-PBE
Structure: optimized geometry

The value obtained for the density is 10.0 g/cm3.

It has space group P4/mbm (No. 127), with a = 7.309 Å, b = 7.309 Å, c = 3.366 Å, α = 90.00°, β = 90.00° and γ = 90.00°. Symmetry generates all atoms from Ta at (0.154, 0.346, 0.000), Si at (0.131, 0.631, 0.500) and Sb at (0.000, 0.000, 0.000).

---

Version x
Compound: Ta2Si2Sb
Source: Alexandria via LeMat-Bulk
Functional: GGA-PBE
Structure: optimized geometry

The value obtained for the density is 10.2 g/cm3.

It has space group I4/mmm (No. 139), with a = 3.538 Å, b = 3.538 Å, c = 14.089 Å, α = 90.00°, β = 90.00° and γ = 90.00°. Symmetry generates all atoms from Ta at (0.000, 0.000, 0.109), Si at (0.000, 0.500, 0.250) and Sb at (0.000, 0.000, 0.500).

---

Most stable structure - version x; separation to the second - 16.0 kJ/mol of atoms.

---

Version w
Compound: TaSiSb3
Source: Alexandria via LeMat-Bulk
Functional: GGA-PBE
Structure: optimized geometry

The value obtained for the density is 6.3 g/cm3.

It has space group Pm-3m (No. 221), with a = 5.342 Å, b = 5.342 Å, c = 5.342 Å, α = 90.00°, β = 90.00° and γ = 90.00°. Symmetry generates all atoms from Ta at (0.000, 0.000, 0.000), Si at (0.500, 0.500, 0.500) and Sb at (0.000, 0.000, 0.500).

---

Version x
Compound: TaSiSb3
Source: Alexandria via LeMat-Bulk
Functional: GGA-PBE
Structure: optimized geometry

The value obtained for the density is 7.3 g/cm3.

It has space group Pm-3m (No. 221), with a = 5.063 Å, b = 5.063 Å, c = 5.063 Å, α = 90.00°, β = 90.00° and γ = 90.00°. Symmetry generates all atoms from Ta at (0.000, 0.000, 0.000), Si at (0.500, 0.500, 0.500) and Sb at (0.000, 0.500, 0.500).

---

Most stable structure - version w; separation to the second - 35.5 kJ/mol of atoms.

---

Version w
Compound: TaSiSbTe2
Source: Alexandria via LeMat-Bulk
Functional: GGA-PBE
Structure: optimized geometry

The value obtained for the density is 6.2 g/cm3.

It has space group P4/mmm (No. 123), with a = 5.358 Å, b = 5.358 Å, c = 5.439 Å, α = 90.00°, β = 90.00° and γ = 90.00°. Symmetry generates all atoms from Ta at (0.000, 0.000, 0.000), Si at (0.500, 0.500, 0.500), Sb at (0.000, 0.000, 0.500) and Te at (0.000, 0.500, 0.000).

---

Version x
Compound: TaSiSbTe2
Source: Alexandria via LeMat-Bulk
Functional: GGA-PBE
Structure: optimized geometry

The value obtained for the density is 7.3 g/cm3.

It has space group P4/mmm (No. 123), with a = 5.120 Å, b = 5.120 Å, c = 5.075 Å, α = 90.00°, β = 90.00° and γ = 90.00°. Symmetry generates all atoms from Ta at (0.000, 0.000, 0.000), Si at (0.500, 0.500, 0.500), Sb at (0.500, 0.500, 0.000) and Te at (0.000, 0.500, 0.500).

---

Most stable structure - version w; separation to the second - 32.6 kJ/mol of atoms.

---

Version w
Compound: SiTcSb
Source: Alexandria via LeMat-Bulk
Functional: GGA-PBE
Structure: optimized geometry

The value obtained for the density is 7.7 g/cm3.

It has space group P3m1 (No. 156), with a = 3.2436 Å, b = 3.2436 Å, c = 5.8905 Å, α = 90.00°, β = 90.00° and γ = 120.00°. Symmetry generates all atoms from Si at (0.0000, 0.0000, 0.0000), Tc at (0.6667, 0.3333, 0.2714) and Sb at (0.3333, 0.6667, 0.6098).

---

Version x
Compound: SiTcSb
Source: Alexandria via LeMat-Bulk
Functional: GGA-PBE
Structure: optimized geometry

The value obtained for the density is 7.2 g/cm3.

It has space group I4mm (No. 107), with a = 3.137 Å, b = 3.137 Å, c = 11.606 Å, α = 90.00°, β = 90.00° and γ = 90.00°. Symmetry generates all atoms from Si at (0.000, 0.000, 0.000), Tc at (0.000, 0.000, 0.599) and Sb at (0.000, 0.000, 0.258).

---

Most stable structure - version w; separation to the second - 6.2 kJ/mol of atoms.

---

Version w
Compound: SiTcSb3
Source: Alexandria via LeMat-Bulk
Functional: GGA-PBE
Structure: optimized geometry

The value obtained for the density is 6.1 g/cm3.

It has space group Pm-3m (No. 221), with a = 5.109 Å, b = 5.109 Å, c = 5.109 Å, α = 90.00°, β = 90.00° and γ = 90.00°. Symmetry generates all atoms from Si at (0.000, 0.000, 0.000), Tc at (0.500, 0.500, 0.500) and Sb at (0.000, 0.000, 0.500).

---

Version x
Compound: SiTcSb3
Source: Alexandria via LeMat-Bulk
Functional: GGA-PBE
Structure: optimized geometry

The value obtained for the density is 6.1 g/cm3.

It has space group Pm-3m (No. 221), with a = 5.127 Å, b = 5.127 Å, c = 5.127 Å, α = 90.00°, β = 90.00° and γ = 90.00°. Symmetry generates all atoms from Si at (0.000, 0.000, 0.000), Tc at (0.500, 0.500, 0.500) and Sb at (0.000, 0.500, 0.500).

---

Most stable structure - version x; separation to the second - 44.8 kJ/mol of atoms.

---

Version w
Compound: SiTcSb2Te
Source: Alexandria via LeMat-Bulk
Functional: GGA-PBE
Structure: optimized geometry

The value obtained for the density is 6.0 g/cm3.

It has space group P4/mmm (No. 123), with a = 5.161 Å, b = 5.161 Å, c = 5.164 Å, α = 90.00°, β = 90.00° and γ = 90.00°. Symmetry generates all atoms from Si at (0.000, 0.000, 0.000), Tc at (0.500, 0.500, 0.500), Sb at (0.000, 0.500, 0.000) and Te at (0.000, 0.000, 0.500).

---

Version x
Compound: SiTcSb2Te
Source: Alexandria via LeMat-Bulk
Functional: GGA-PBE
Structure: optimized geometry

The value obtained for the density is 6.0 g/cm3.

It has space group P4/mmm (No. 123), with a = 5.060 Å, b = 5.060 Å, c = 5.416 Å, α = 90.00°, β = 90.00° and γ = 90.00°. Symmetry generates all atoms from Si at (0.000, 0.000, 0.000), Tc at (0.500, 0.500, 0.500), Sb at (0.000, 0.500, 0.500) and Te at (0.500, 0.500, 0.000).

---

Most stable structure - version x; separation to the second - 36.2 kJ/mol of atoms.